Na2In2CoO6 | Alexandria via LeMat-Bulk | PBE with a Hubbard U | optimized geometry; space group = C2/m; DFT total energy = -57.81 eV/cell
1.0
2.7496 -4.6982 0.0000
2.7496 4.6982 0.0000
-1.6150 0.0000 5.5889
Na In Co O
2 2 1 6
Cartesian
2.7496 3.2285 0.0000
2.7496 -3.2285 0.0000
1.9421 1.5437 2.7944
1.9421 -1.5437 2.7944
-0.8075 0.0000 2.7944
0.0017 1.4172 3.8684
0.7895 0.0000 1.7259
0.0017 -1.4172 3.8684
3.8825 1.4172 1.7205
3.0948 0.0000 3.8629
3.8825 -1.4172 1.7205